No. 1
VASP calculation (PBE) on an optimized crystal structure of HfCBr2.

Calculated values
- Formation energy (no corrections): 134 kJ/mol of atoms
- Crystal system: trigonal
- Relative energy among the computed polymorphs: 1210 meV/atom
- Symmetry: R-3m (166)
- DFT total energy: -17.0 eV/cell

a = 8.6060 Å, b = 8.6060 Å, c = 8.6060 Å
α = 22.89°, β = 22.89°, γ = 22.89°
With the nearest neighbours (Å) after each atom.
Positions (direct):
1 C 0.5000 0.5000 0.5000  6 Br 2.54
2 Hf 0.0000 0.0000 0.0000  2 Br 2.58
3 Br 0.8972 0.8972 0.8972  3 C 2.54, 1 Hf 2.58
4 Br 0.1028 0.1028 0.1028  3 C 2.54, 1 Hf 2.58

***

No. 2
VASP calculation (PBE) on an optimized crystal structure of EuHoTm.

Calculated values
- Energy relative to the elements: 19 kJ/mol of formula units
- Crystal system: trigonal
- Relative energy among the computed polymorphs: 0 meV/atom
- Symmetry: P3m1 (156)
- DFT total energy: -19.1 eV/cell

a = 3.6043 Å, b = 3.6043 Å, c = 8.8354 Å
α = 90.00°, β = 90.00°, γ = 120.00°
With the nearest neighbours (Å) after each atom.
Positions (direct):
1 Eu 0.0000 0.0000 0.9988  6 Eu 3.60, 3 Tm 3.68, 3 Ho 3.71
2 Tm 0.3333 0.6667 0.6550  3 Ho 3.43, 6 Tm 3.60, 3 Eu 3.68
3 Ho 0.6667 0.3333 0.3462  3 Tm 3.43, 6 Ho 3.60, 3 Eu 3.71

***

No. 3
VASP calculation (PBE) on an optimized crystal structure of Cu2AsNCl.

Calculated values
- Formation energy (no corrections): 165 kJ/mol of atoms
- Crystal system: tetragonal
- Symmetry: P4/mmm (123)
- DFT total energy: -14.5 eV/cell

a = 4.1414 Å, b = 5.4358 Å, c = 4.1414 Å
α = 90.00°, β = 90.00°, γ = 90.00°
With the nearest neighbours (Å) after each atom.
Positions (direct):
1 As 0.0000 0.5000 0.0000  2 Cl 2.72, 4 N 2.93
2 N 0.5000 0.5000 0.5000  4 As 2.93
3 Cu 0.0000 0.0000 0.5000  2 Cl 2.07
4 Cu 0.5000 0.0000 0.0000  2 Cl 2.07
5 Cl 0.0000 0.0000 0.0000  4 Cu 2.07

***

No. 4
VASP calculation (PBE) on an optimized crystal structure of CrCu3HgSe4.

Calculated values
- Formation energy (no corrections): -15 kJ/mol of atoms
- Crystal system: cubic
- Symmetry: P-43m (215)
- DFT total energy: -37.6 eV/cell

a = 5.9108 Å, b = 5.9108 Å, c = 5.9108 Å
α = 90.00°, β = 90.00°, γ = 90.00°
With the nearest neighbours (Å) after each atom.
Positions (direct):
1 Cr 0.0000 0.0000 0.0000  4 Se 2.35
2 Cu 0.0000 0.5000 0.0000  4 Se 2.50
3 Cu 0.0000 0.0000 0.5000  4 Se 2.50
4 Cu 0.5000 0.0000 0.0000  4 Se 2.50
5 Hg 0.5000 0.5000 0.5000  4 Se 2.76
6 Se 0.2299 0.2299 0.2299  1 Cr 2.35, 3 Cu 2.50
7 Se 0.7701 0.7701 0.2299  1 Cr 2.35, 3 Cu 2.50
8 Se 0.2299 0.7701 0.7701  1 Cr 2.35, 3 Cu 2.50
9 Se 0.7701 0.2299 0.7701  1 Cr 2.35, 3 Cu 2.50

***

No. 5
VASP calculation (PBE) on an optimized crystal structure of Ca5AcBi5.

Calculated values
- Energy relative to the elements: -729 kJ/mol of formula units
- Crystal system: monoclinic
- Symmetry: C2/m (12)
- DFT total energy: -41.1 eV/cell

a = 6.5855 Å, b = 8.5776 Å, c = 8.5121 Å
α = 103.88°, β = 90.00°, γ = 112.57°
With the nearest neighbours (Å) after each atom.
Positions (direct):
1 Ca 0.6665 0.3330 0.3240  5 Bi 3.19-3.30
2 Ca 0.6804 0.3609 0.8596  5 Bi 3.24-3.37
3 Ca 0.0000 0.0000 0.5000  4 Bi 3.17-3.21
4 Ca 0.3196 0.6391 0.1404  5 Bi 3.24-3.37
5 Ca 0.3335 0.6670 0.6760  5 Bi 3.19-3.30
6 Ac 0.0000 0.0000 0.0000  6 Bi 3.29-3.45
7 Bi 0.8372 0.6743 0.1916  5 Ca 3.17-3.32, 1 Ac 3.39
8 Bi 0.8328 0.6656 0.6476  5 Ca 3.21-3.37, 1 Ac 3.45
9 Bi 0.5000 0.0000 0.0000  4 Ca 3.28-3.37, 2 Ac 3.29
10 Bi 0.1672 0.3344 0.3524  5 Ca 3.21-3.37, 1 Ac 3.45
11 Bi 0.1628 0.3257 0.8084  5 Ca 3.17-3.32, 1 Ac 3.39

***

No. 6
VASP calculation (PBE) on an optimized crystal structure of Rb3Ce2Br8.

Calculated values
- Formation energy (no corrections): -165 kJ/mol of atoms
- Crystal system: monoclinic
- Symmetry: C2/m (12)
- DFT total energy: -50.3 eV/cell

a = 8.2178 Å, b = 9.6044 Å, c = 9.6044 Å
α = 56.21°, β = 74.99°, γ = 74.99°
With the nearest neighbours (Å) after each atom.
Positions (direct):
1 Rb 0.5000 0.0000 0.0000  6 Br 3.59-3.61
2 Rb 0.0000 0.2632 0.7368  6 Br 3.35-3.44
3 Rb 0.0000 0.7368 0.2632  6 Br 3.35-3.44
4 Ce 0.9789 0.2499 0.2499  6 Br 2.90-3.07
5 Ce 0.0211 0.7501 0.7501  6 Br 2.90-3.07
6 Br 0.7941 0.6473 0.6473  1 Ce 2.90
7 Br 0.2059 0.3527 0.3527  1 Ce 2.90
8 Br 0.7765 0.1292 0.1292  1 Ce 2.99
9 Br 0.2235 0.8708 0.8708  1 Ce 2.99
10 Br 0.7881 0.6133 0.0920  2 Ce 3.07
11 Br 0.7881 0.0920 0.6133  2 Ce 3.07
12 Br 0.2119 0.9080 0.3867  2 Ce 3.07
13 Br 0.2119 0.3867 0.9080  2 Ce 3.07

***

No. 7
VASP calculation (PBE) on an optimized crystal structure of Y6HoTh.

Calculated values
- Energy relative to the elements: 171 kJ/mol of formula units
- Crystal system: triclinic
- Relative energy among the computed polymorphs: 183 meV/atom
- Symmetry: P-1 (2)
- DFT total energy: -49.0 eV/cell

a = 6.7448 Å, b = 6.5716 Å, c = 6.7986 Å
α = 94.83°, β = 60.32°, γ = 91.77°
With the nearest neighbours (Å) after each atom.
Positions (direct):
1 Y 0.0662 0.7454 0.5114  6 Y 3.24-3.57, 1 Ho 3.42
2 Y 0.5652 0.7578 0.5255  6 Y 3.29-3.52, 1 Th 3.63
3 Y 0.4348 0.2422 0.4745  6 Y 3.29-3.52, 1 Th 3.63
4 Y 0.9338 0.2546 0.4886  6 Y 3.24-3.57, 1 Ho 3.42
5 Y 0.5310 0.7513 0.0250  6 Y 3.24-3.57, 1 Ho 3.45, 1 Th 3.54
6 Y 0.4690 0.2487 0.9750  6 Y 3.24-3.57, 1 Ho 3.45, 1 Th 3.54
7 Ho 0.0000 0.0000 0.0000  2 Th 3.29, 4 Y 3.42-3.45
8 Th 0.0000 0.5000 0.0000  2 Ho 3.29, 6 Y 3.54-3.64

***

No. 8
VASP calculation (PBE) on an optimized crystal structure of SmTmMgCr.

Calculated values
- Energy relative to the elements: 57 kJ/mol of formula units
- Crystal system: cubic
- Symmetry: F-43m (216)
- DFT total energy: -19.8 eV/cell

a = 5.2106 Å, b = 5.2106 Å, c = 5.2106 Å
α = 60.00°, β = 60.00°, γ = 60.00°
With the nearest neighbours (Å) after each atom.
Positions (direct):
1 Cr 0.5000 0.5000 0.5000  4 Tm 3.19, 4 Sm 3.19
2 Mg 0.0000 0.0000 0.0000  4 Tm 3.19, 4 Sm 3.19
3 Tm 0.2500 0.2500 0.2500  4 Cr 3.19, 4 Mg 3.19
4 Sm 0.7500 0.7500 0.7500  4 Mg 3.19, 4 Cr 3.19

***

No. 9
VASP calculation (PBE) on an optimized crystal structure of SnSb2Rh.

Calculated values
- Formation energy (no corrections): 30 kJ/mol of atoms
- Crystal system: trigonal
- Symmetry: R-3m (166)
- DFT total energy: -18.4 eV/cell

a = 3.1687 Å, b = 3.1687 Å, c = 11.3363 Å
α = 81.97°, β = 81.97°, γ = 60.00°
With the nearest neighbours (Å) after each atom.
Positions (direct):
1 Sb 0.0764 0.0764 0.7707  1 Rh 2.57
2 Sb 0.9236 0.9236 0.2293  1 Rh 2.57
3 Rh 0.0000 0.0000 0.0000  2 Sb 2.57
4 Sn 0.5000 0.5000 0.5000  6 Sn 3.17, 6 Sb 3.54

***

No. 10
VASP calculation (PBE) on an optimized crystal structure of CsLaWN3.

Calculated values
- Formation energy (no corrections): -54 kJ/mol of atoms
- Crystal system: monoclinic
- Symmetry: C2/m (12)
- DFT total energy: -94.1 eV/cell

a = 3.9817 Å, b = 7.3862 Å, c = 8.7944 Å
α = 104.14°, β = 90.00°, γ = 105.64°
With the nearest neighbours (Å) after each atom.
Positions (direct):
1 Cs 0.3596 0.7193 0.9345  6 N 3.25-3.49
2 Cs 0.6404 0.2807 0.0655  6 N 3.25-3.49
3 La 0.6634 0.3268 0.5939  7 N 2.53-2.76
4 La 0.3366 0.6732 0.4061  7 N 2.53-2.76
5 W 0.0113 0.0225 0.3417  4 N 1.92-2.00
6 W 0.9887 0.9775 0.6583  4 N 1.92-2.00
7 N 0.8759 0.7517 0.2329  1 W 1.92
8 N 0.8452 0.6904 0.6269  1 W 1.99
9 N 0.5143 0.0287 0.3587  2 W 2.00
10 N 0.1548 0.3096 0.3731  1 W 1.99
11 N 0.4857 0.9713 0.6413  2 W 2.00
12 N 0.1241 0.2483 0.7671  1 W 1.92

***

no.,ρ (g/cm³),calculated volume (Å³ per atom)
1,6.87,21.15
2,8.12,33.13
3,4.48,18.65
4,6.10,22.95
5,5.70,38.98
6,3.24,46.32
7,5.92,32.61
8,6.57,25.01
9,7.94,24.32
10,6.86,20.08